The following is a DFT calculation (PBE-GGA) of Tb6Pm2ErSc after structural relaxation.

abc: 9.586 8.702 8.702
angles: 117.50 94.46 94.46
Fractional positions:
Pm 0.455 0.802 0.701
Pm 0.045 0.299 0.198
Pm 0.955 0.701 0.802
Pm 0.545 0.198 0.299
Er 0.750 0.018 0.982
Er 0.250 0.982 0.018
Tb 0.192 0.571 0.009
Tb 0.883 0.294 0.503
Tb 0.444 0.252 0.874
Tb 0.383 0.503 0.294
Tb 0.117 0.706 0.497
Tb 0.692 0.009 0.571
Tb 0.056 0.126 0.748
Tb 0.808 0.429 0.991
Tb 0.944 0.874 0.252
Tb 0.617 0.497 0.706
Tb 0.556 0.748 0.126
Tb 0.308 0.991 0.429
Sc 0.750 0.589 0.411
Sc 0.250 0.411 0.589

Computed properties:
**ΔH_f (0 K)**: 0.12 eV per atom
**Space group**: C2/c (15)
**Magnetization**: 0.00 μB/cell
**Total DFT energy (no corrections)**: -93.89 eV per cell